[1]
{"formula": "Rb2BaLi2", "functional": "GGA-PBE", "state": "optimized geometry", "cell": [[11.2064, 0.0000, 0.0000], [0.0000, 11.2064, 0.0000], [0.0000, 0.0000, 4.2177]], "species": ["Rb", "Rb", "Rb", "Rb", "Ba", "Ba", "Li", "Li", "Li", "Li"], "fractional_positions": [[0.1285, 0.3715, 0.0000], [0.3715, 0.8715, 0.0000], [0.6285, 0.1285, 0.0000], [0.8715, 0.6285, 0.0000], [0.0000, 0.0000, 0.0000], [0.5000, 0.5000, 0.0000], [0.1772, 0.6772, 0.5000], [0.3228, 0.1772, 0.5000], [0.6772, 0.8228, 0.5000], [0.8228, 0.3228, 0.5000]], "dos_ef_per_ev_cell": 6.209, "formation_enthalpy_0k_kj_per_mol_fu": 110, "density_kg_m3": 2020, "e_above_lowest_polymorph_ev_per_atom": 0.0261, "energy_ev_per_cell": -13.09}

=====

[2]
{"formula": "NaC", "functional": "GGA-PBE", "state": "optimized geometry", "cell": [[-2.0025, 2.0025, 5.8275], [2.0025, -2.0025, 5.8275], [2.0025, 2.0025, -5.8275]], "species": ["Na", "Na", "Na", "C", "C", "C"], "fractional_positions": [[0.0000, 0.0000, 0.0000], [0.2500, 0.7500, 0.5000], [0.7500, 0.2500, 0.5000], [0.3858, 0.3858, 0.0000], [0.5000, 0.5000, 0.0000], [0.6142, 0.6142, 0.0000]], "dos_ef_per_ev_cell": 2.029, "formation_enthalpy_0k_kj_per_mol_fu": 95, "density_kg_m3": 1865, "e_above_lowest_polymorph_ev_per_atom": 0.2589, "energy_ev_per_cell": -28.69}

=====

[3]
{"formula": "NaAc2In12", "functional": "GGA-PBE", "state": "optimized geometry", "cell": [[6.6164, 0.0000, 0.0000], [0.0000, 6.6164, 0.0000], [0.0000, 0.0000, 20.5478]], "species": ["Na", "Na", "Ac", "Ac", "Ac", "Ac", "In", "In", "In", "In", "In", "In", "In", "In", "In", "In", "In", "In", "In", "In", "In", "In", "In", "In", "In", "In", "In", "In", "In", "In"], "fractional_positions": [[0.2500, 0.7500, 0.0000], [0.7500, 0.2500, 0.0000], [0.2500, 0.7500, 0.2813], [0.2500, 0.7500, 0.7187], [0.7500, 0.2500, 0.2813], [0.7500, 0.2500, 0.7187], [0.0032, 0.5032, 0.1175], [0.0032, 0.9968, 0.8825], [0.0761, 0.5761, 0.5628], [0.0761, 0.9239, 0.4372], [0.2500, 0.2500, 0.2143], [0.2500, 0.2500, 0.3532], [0.2500, 0.2500, 0.6468], [0.2500, 0.2500, 0.7857], [0.4239, 0.5761, 0.4372], [0.4239, 0.9239, 0.5628], [0.4968, 0.5032, 0.8825], [0.4968, 0.9968, 0.1175], [0.5032, 0.0032, 0.8825], [0.5032, 0.4968, 0.1175], [0.5761, 0.0761, 0.4372], [0.5761, 0.4239, 0.5628], [0.7500, 0.7500, 0.2143], [0.7500, 0.7500, 0.3532], [0.7500, 0.7500, 0.6468], [0.7500, 0.7500, 0.7857], [0.9239, 0.0761, 0.5628], [0.9239, 0.4239, 0.4372], [0.9968, 0.0032, 0.1175], [0.9968, 0.4968, 0.8825]], "dos_ef_per_ev_cell": 14.137, "formation_enthalpy_0k_kj_per_mol_fu": -257, "density_kg_m3": 6848, "energy_ev_per_cell": -90.13}